## NdPuAs (PBE-GGA)

Data for a geometry-optimized NdPuAs structure.

Values from the calculation:
The space group is F-43m (216). Its raw total energy is -0.31144 Ha/atom.

abc: 4.9509 4.9509 4.9509
angles: 60.00 60.00 60.00
Fractional coordinates of all 3 atoms:
As1 0.0000 0.0000 0.0000
Nd1 0.2500 0.2500 0.2500
Pu1 0.7500 0.7500 0.7500